No. 1
DFT (PBE-GGA) results for an optimized crystal structure of YFeSnPd.

The space group is F-43m (No. 216) and the conventional cell measures 6.8113, 6.8113 and 6.8113 Å, with angles of 90.00, 90.00 and 90.00 degrees. The asymmetric unit holds Y at (0.0000, 0.0000, 0.0000), Fe at (0.0000, 0.0000, 0.5000), Sn at (0.2500, 0.2500, 0.2500) and Pd at (0.2500, 0.2500, 0.7500).

The excess energy over the best structure of this formula in the dataset is 160 meV per atom.



No. 2
DFT (PBE-GGA) results for an optimized crystal structure of YFeSnPd.

The space group is F-43m (No. 216) and the conventional cell measures 6.6959, 6.6959 and 6.6959 Å, with angles of 90.00, 90.00 and 90.00 degrees. The asymmetric unit holds Y at (0.0000, 0.0000, 0.0000), Fe at (0.2500, 0.2500, 0.7500), Sn at (0.0000, 0.0000, 0.5000) and Pd at (0.2500, 0.2500, 0.2500).

The excess energy over the best structure of this formula in the dataset is 0 meV per atom.



No. 3
DFT (PBE-GGA) results for an optimized crystal structure of Sr2FePd.

The space group is F-43m (No. 216) and the conventional cell measures 7.2853, 7.2853 and 7.2853 Å, with angles of 90.00, 90.00 and 90.00 degrees. The asymmetric unit holds Sr at (0.0000, 0.0000, 0.0000), Sr at (0.2500, 0.2500, 0.2500), Fe at (0.0000, 0.0000, 0.5000) and Pd at (0.2500, 0.2500, 0.7500).

Its total energy is -3.832 eV per atom.



No. 4
DFT (PBE-GGA) results for an optimized crystal structure of SrFePd.

The space group is F-43m (No. 216) and the conventional cell measures 6.7075, 6.7075 and 6.7075 Å, with angles of 90.00, 90.00 and 90.00 degrees. The asymmetric unit holds Sr at (0.0000, 0.0000, 0.0000), Fe at (0.0000, 0.0000, 0.5000) and Pd at (0.2500, 0.2500, 0.7500).

Its total energy is -4.710 eV per atom.



No. 5
DFT (PBE-GGA) results for an optimized crystal structure of SrFePd2.

The space group is F-43m (No. 216) and the conventional cell measures 6.6880, 6.6880 and 6.6880 Å, with angles of 90.00, 90.00 and 90.00 degrees. The asymmetric unit holds Sr at (0.0000, 0.0000, 0.0000), Fe at (0.2500, 0.2500, 0.2500), Pd at (0.0000, 0.0000, 0.5000) and Pd at (0.2500, 0.2500, 0.7500).

Its total energy is -4.930 eV per atom.



No. 6
DFT (PBE-GGA) results for an optimized crystal structure of SrFePd.

The space group is F-43m (No. 216) and the conventional cell measures 6.8624, 6.8624 and 6.8624 Å, with angles of 90.00, 90.00 and 90.00 degrees. The asymmetric unit holds Sr at (0.0000, 0.0000, 0.0000), Fe at (0.2500, 0.2500, 0.7500) and Pd at (0.2500, 0.2500, 0.2500).

Its total energy is -4.130 eV per atom.



No. 7
DFT (PBE-GGA) results for an optimized crystal structure of Sr3Fe2Pd2.

The space group is R3m (No. 160, hexagonal axes) and the conventional cell measures 4.3391, 4.3391 and 34.0466 Å, with angles of 90.00, 90.00 and 120.00 degrees. The asymmetric unit holds Sr at (0.0000, 0.0000, 0.0000), Sr at (0.0000, 0.0000, 0.2372), Sr at (0.0000, 0.0000, 0.7571), Fe at (0.0000, 0.0000, 0.4954), Fe at (0.0000, 0.0000, 0.8415), Pd at (0.0000, 0.0000, 0.1472) and Pd at (0.0000, 0.0000, 0.6224).

Its total energy is -4.626 eV per atom.



No. 8
DFT (PBE-GGA) results for an optimized crystal structure of FeTePd.

The space group is F-43m (No. 216) and the conventional cell measures 6.0740, 6.0740 and 6.0740 Å, with angles of 90.00, 90.00 and 90.00 degrees. The asymmetric unit holds Fe at (0.0000, 0.0000, 0.0000), Te at (0.2500, 0.2500, 0.2500) and Pd at (0.2500, 0.2500, 0.7500).

Its total energy is -5.540 eV per atom.